w.
Material: CaGaAs
Method: DFT, PBE
State: optimized geometry

Values from the calculation:
* space group: No. 71

```
CaGaAs
1.0
-2.144 2.455 7.236
2.144 -2.455 7.236
2.144 2.455 -7.236
Ca Ga As
2 2 2
Cartesian
0.000 0.000 2.159
0.000 0.000 12.312
2.144 1.163 0.000
0.000 1.292 7.236
0.000 0.000 5.089
0.000 0.000 9.382
```

x.
Material: CaGaAs
Method: DFT, PBE
State: optimized geometry

Values from the calculation:
* space group: No. 62

```
CaGaAs
1.0
7.341 0.000 0.000
0.000 4.451 0.000
0.000 0.000 8.821
Ca Ga As
4 4 4
Cartesian
0.946 1.113 1.462
2.725 3.338 5.872
4.617 1.113 2.949
6.395 3.338 7.359
0.073 3.338 3.786
3.597 1.113 8.197
3.744 3.338 0.624
7.268 1.113 5.035
1.147 1.113 7.282
2.523 3.338 2.872
4.818 1.113 5.949
6.194 3.338 1.539
```

y.
Material: CaGaAs
Method: DFT, PBE
State: optimized geometry

Values from the calculation:
* space group: No. 109

```
CaGaAs
1.0
-2.830 2.830 5.235
2.830 -2.830 5.235
2.830 2.830 -5.235
Ca Ga As
2 2 2
Cartesian
0.000 0.000 0.000
0.000 2.830 2.617
2.830 0.000 2.869
0.000 0.000 5.487
2.830 0.000 0.308
0.000 0.000 2.925
```

Which one sits at the top of the stability order? x does.

w.
Material: CaGaAs3
Method: DFT, PBE
State: optimized geometry

Values from the calculation:
* space group: No. 221

```
CaGaAs3
1.0
4.981 0.000 0.000
0.000 4.981 0.000
0.000 0.000 4.981
Ca Ga As
1 1 3
Cartesian
0.000 0.000 0.000
2.491 2.491 2.491
0.000 2.491 2.491
2.491 0.000 2.491
2.491 2.491 0.000
```

x.
Material: CaGaAs3
Method: DFT, PBE
State: optimized geometry

Values from the calculation:
* space group: No. 221

```
CaGaAs3
1.0
5.382 0.000 0.000
0.000 5.382 0.000
0.000 0.000 5.382
Ca Ga As
1 1 3
Cartesian
0.000 0.000 0.000
2.691 2.691 2.691
0.000 0.000 2.691
0.000 2.691 0.000
2.691 0.000 0.000
```

Which one sits at the top of the stability order? w does.

w.
Material: CaGa3As
Method: DFT, PBE
State: optimized geometry

Values from the calculation:
* space group: No. 221

```
CaGa3As
1.0
5.057 0.000 0.000
0.000 5.057 0.000
0.000 0.000 5.057
Ca Ga As
1 3 1
Cartesian
0.000 0.000 0.000
0.000 2.528 2.528
2.528 0.000 2.528
2.528 2.528 0.000
2.528 2.528 2.528
```

x.
Material: CaGa3As
Method: DFT, PBE
State: optimized geometry

Values from the calculation:
* space group: No. 221

```
CaGa3As
1.0
5.464 0.000 0.000
0.000 5.464 0.000
0.000 0.000 5.464
Ca Ga As
1 3 1
Cartesian
0.000 0.000 0.000
0.000 0.000 2.732
0.000 2.732 0.000
2.732 0.000 0.000
2.732 2.732 2.732
```

Which one sits at the top of the stability order? w does.

w.
Material: Ca2GaAs
Method: DFT, PBE
State: optimized geometry

Values from the calculation:
* space group: No. 225

```
Ca2GaAs
1.0
0.000 3.660 3.660
3.660 0.000 3.660
3.660 3.660 0.000
Ca Ga As
2 1 1
Cartesian
1.830 1.830 1.830
5.491 5.491 5.491
0.000 0.000 0.000
3.660 3.660 3.660
```

x.
Material: Ca2GaAs
Method: DFT, PBE
State: optimized geometry

Values from the calculation:
* space group: No. 122

```
Ca2GaAs
1.0
-4.019 4.019 3.474
4.019 -4.019 3.474
4.019 4.019 -3.474
Ca Ga As
4 2 2
Cartesian
6.029 1.818 -0.868
1.818 2.010 0.868
-2.010 2.201 2.605
2.201 2.010 4.342
4.019 0.000 1.737
0.000 0.000 3.474
0.000 0.000 0.000
0.000 4.019 1.737
```

Which one sits at the top of the stability order? w does.

w.
Material: Ca2GaAsN
Method: DFT, PBE
State: optimized geometry

Values from the calculation:
* space group: No. 11

```
Ca2GaAsN
1.0
6.642 0.000 0.000
0.000 3.797 0.000
-2.347 0.000 8.104
Ca Ga As N
4 2 2 2
Cartesian
0.122 0.949 3.688
-0.687 0.949 7.027
4.983 2.848 1.076
4.174 2.848 4.416
1.550 2.848 5.652
2.745 0.949 2.452
1.500 2.848 1.368
2.796 0.949 6.736
-0.349 2.848 5.399
4.644 0.949 2.705
```

x.
Material: Ca2GaAsN
Method: DFT, PBE
State: optimized geometry

Values from the calculation:
* space group: No. 123

```
Ca2GaAsN
1.0
4.874 0.000 0.000
0.000 4.874 0.000
0.000 0.000 4.160
Ca Ga As N
2 1 1 1
Cartesian
0.000 2.437 0.000
2.437 0.000 0.000
0.000 0.000 2.080
2.437 2.437 2.080
0.000 0.000 0.000
```

Which one sits at the top of the stability order? w does.

w.
Material: CaGaAsSe2
Method: DFT, PBE
State: optimized geometry

Values from the calculation:
* space group: No. 123

```
CaGaAsSe2
1.0
5.305 0.000 0.000
0.000 5.305 0.000
0.000 0.000 5.299
Ca Ga As Se
1 1 1 2
Cartesian
0.000 0.000 0.000
2.652 2.652 0.000
0.000 0.000 2.649
0.000 2.652 2.649
2.652 0.000 2.649
```

x.
Material: CaGaAsSe2
Method: DFT, PBE
State: optimized geometry

Values from the calculation:
* space group: No. 123

```
CaGaAsSe2
1.0
5.483 0.000 0.000
0.000 5.483 0.000
0.000 0.000 5.456
Ca Ga As Se
1 1 1 2
Cartesian
0.000 0.000 0.000
2.742 2.742 2.728
0.000 0.000 2.728
0.000 2.742 0.000
2.742 0.000 0.000
```

Which one sits at the top of the stability order? w does.

w.
Material: Ca3Ge2As4
Method: DFT, PBE
State: optimized geometry

Values from the calculation:
* space group: No. 14

```
Ca3Ge2As4
1.0
7.349 0.000 0.000
0.000 18.092 0.000
-2.710 0.000 6.803
Ca Ge As
12 8 16
Cartesian
1.556 3.315 0.091
0.201 5.731 3.493
0.491 1.037 3.483
1.846 8.009 0.082
0.578 10.185 3.413
1.933 16.952 0.012
2.706 1.140 6.791
4.061 7.906 3.390
2.793 10.083 6.721
4.147 17.055 3.320
4.438 12.361 3.310
3.083 14.776 6.711
1.455 11.338 0.210
0.100 15.799 3.611
-0.145 13.410 6.261
1.210 13.728 2.860
3.429 4.364 3.943
4.784 4.682 0.542
4.539 2.292 3.192
3.184 6.753 6.593
-2.004 10.109 5.049
-0.649 17.028 1.648
-0.404 12.416 1.512
-1.759 14.722 4.913
1.458 3.525 5.218
2.813 5.521 1.817
2.932 1.188 1.707
1.578 7.858 5.109
3.061 10.234 1.694
1.706 16.903 5.095
1.826 12.571 4.986
3.181 14.567 1.585
6.398 3.370 1.890
5.043 5.676 5.291
5.288 1.064 5.155
6.642 7.982 1.754
```

x.
Material: Ca3Ge2As4
Method: DFT, PBE
State: optimized geometry

Values from the calculation:
* space group: No. 15

```
Ca3Ge2As4
1.0
6.562 -5.476 0.000
6.562 5.476 0.000
-0.283 0.000 6.322
Ca Ge As
6 4 8
Cartesian
6.349 4.249 4.742
4.944 1.403 0.313
8.038 1.403 2.848
4.803 -1.403 3.475
7.896 -1.403 6.009
6.491 -4.249 1.581
2.529 1.302 3.500
2.671 -1.302 0.339
10.169 1.302 5.983
10.311 -1.302 2.822
1.767 1.032 5.859
5.033 1.684 3.542
1.908 -1.032 2.697
7.666 1.684 5.942
5.175 -1.684 0.380
10.932 1.032 3.625
7.807 -1.684 2.781
11.074 -1.032 0.464
```

Which one sits at the top of the stability order? w does.

w.
Material: Ca2GeAs
Method: DFT, PBE
State: optimized geometry

Values from the calculation:
* space group: No. 225

```
Ca2GeAs
1.0
0.000 3.651 3.651
3.651 0.000 3.651
3.651 3.651 0.000
Ca Ge As
2 1 1
Cartesian
1.825 1.825 1.825
5.476 5.476 5.476
0.000 0.000 0.000
3.651 3.651 3.651
```

x.
Material: Ca2GeAs
Method: DFT, PBE
State: optimized geometry

Values from the calculation:
* space group: No. 122

```
Ca2GeAs
1.0
-4.005 4.005 3.292
4.005 -4.005 3.292
4.005 4.005 -3.292
Ca Ge As
4 2 2
Cartesian
6.008 1.883 -0.823
1.883 2.003 0.823
-2.003 2.122 2.469
2.122 2.003 4.116
4.005 0.000 1.646
0.000 0.000 3.292
0.000 0.000 0.000
0.000 4.005 1.646
```

Which one sits at the top of the stability order? w does.